Here is Nd4PPtBr2 after structural relaxation from Alexandria via LeMat-Bulk. Energies are from GGA-PBE.

Computed properties:
energy: -5.554 eV/atom
Fermi-level density of states: 6.065 states/eV/cell
space-group type: P2/m, No. 10
formation energy without anion corrections: -1.3210 eV/atom
total moment: 0.00 Bohr magnetons per cell

abc: 7.523 4.115 7.683
angles: 90.00 107.45 90.00
Positions (direct):
Nd1 0.228 0.000 0.205
Nd2 0.272 0.500 0.790
Nd3 0.728 0.500 0.210
Nd4 0.772 0.000 0.795
P1 0.500 0.000 0.000
Pt1 0.000 0.500 0.000
Br1 0.000 0.000 0.500
Br2 0.500 0.500 0.500

***

Here is Nd6PPt2Br3 after structural relaxation from Alexandria via LeMat-Bulk. Energies are from GGA-PBE.

Computed properties:
energy: -5.536 eV/atom
Fermi-level density of states: 10.704 states/eV/cell
space-group type: C2/m, No. 12
formation energy without anion corrections: -1.2766 eV/atom
total moment: 0.00 Bohr magnetons per cell

abc: 7.378 7.378 7.845
angles: 99.01 99.01 119.93
Positions (direct):
Nd1 0.093 0.432 0.797
Nd2 0.228 0.228 0.202
Nd3 0.432 0.093 0.797
Nd4 0.568 0.907 0.203
Nd5 0.772 0.772 0.798
Nd6 0.907 0.568 0.203
P1 0.500 0.500 0.000
Pt1 0.167 0.833 0.000
Pt2 0.833 0.167 0.000
Br1 0.000 0.000 0.500
Br2 0.340 0.660 0.500
Br3 0.660 0.340 0.500

***

Here is Nd4PRhBr2 after structural relaxation from Alexandria via LeMat-Bulk. Energies are from GGA-PBE.

Computed properties:
energy: -5.616 eV/atom
Fermi-level density of states: 6.033 states/eV/cell
space-group type: P2/m, No. 10
formation energy without anion corrections: -1.2184 eV/atom
total moment: 0.00 Bohr magnetons per cell

abc: 7.524 4.064 7.760
angles: 90.00 106.80 90.00
Positions (direct):
Nd1 0.223 0.000 0.198
Nd2 0.267 0.500 0.797
Nd3 0.733 0.500 0.203
Nd4 0.777 0.000 0.802
P1 0.500 0.000 0.000
Rh1 0.000 0.500 0.000
Br1 0.000 0.000 0.500
Br2 0.500 0.500 0.500

***

Here is Nd6PRu2Br3 after structural relaxation from Alexandria via LeMat-Bulk. Energies are from GGA-PBE.

Computed properties:
energy: -5.796 eV/atom
Fermi-level density of states: 10.234 states/eV/cell
space-group type: C2/m, No. 12
formation energy without anion corrections: -0.9968 eV/atom
total moment: 0.00 Bohr magnetons per cell

abc: 7.218 7.218 8.034
angles: 98.68 98.68 119.99
Positions (direct):
Nd1 0.091 0.435 0.802
Nd2 0.221 0.221 0.197
Nd3 0.435 0.091 0.802
Nd4 0.565 0.909 0.198
Nd5 0.779 0.779 0.803
Nd6 0.909 0.565 0.198
P1 0.500 0.500 0.000
Ru1 0.167 0.833 0.000
Ru2 0.833 0.167 0.000
Br1 0.000 0.000 0.500
Br2 0.336 0.664 0.500
Br3 0.664 0.336 0.500

***

Here is Nd4PSBr2 after structural relaxation from Alexandria via LeMat-Bulk. Energies are from GGA-PBE.

Computed properties:
energy: -5.546 eV/atom
Fermi-level density of states: 4.273 states/eV/cell
space-group type: P2/m, No. 10
formation energy without anion corrections: -1.5520 eV/atom
total moment: 0.00 Bohr magnetons per cell

abc: 7.142 4.169 7.659
angles: 90.00 108.42 90.00
Positions (direct):
Nd1 0.231 0.000 0.197
Nd2 0.266 0.500 0.800
Nd3 0.734 0.500 0.200
Nd4 0.769 0.000 0.803
P1 0.500 0.000 0.000
S1 0.000 0.500 0.000
Br1 0.000 0.000 0.500
Br2 0.500 0.500 0.500

***

Here is Nd8P3SBr4 after structural relaxation from Alexandria via LeMat-Bulk. Energies are from GGA-PBE.

Computed properties:
energy: -5.606 eV/atom
Fermi-level density of states: 7.017 states/eV/cell
space-group type: R-3m, No. 166
formation energy without anion corrections: -1.5317 eV/atom
total moment: 0.00 Bohr magnetons per cell

abc: 8.735 8.735 8.735
angles: 56.88 56.88 56.88
Positions (direct):
Nd1 0.233 0.233 0.233
Nd2 0.234 0.732 0.732
Nd3 0.268 0.268 0.766
Nd4 0.268 0.766 0.268
Nd5 0.732 0.234 0.732
Nd6 0.732 0.732 0.234
Nd7 0.766 0.268 0.268
Nd8 0.767 0.767 0.767
P1 0.000 0.000 0.500
P2 0.000 0.500 0.000
P3 0.500 0.000 0.000
S1 0.500 0.500 0.500
Br1 0.000 0.000 0.000
Br2 0.000 0.500 0.500
Br3 0.500 0.000 0.500
Br4 0.500 0.500 0.000